# 1
# CuHg2Mo PBE optimized geometry
# total magnetization: 0.74 μB/f.u.
# energy relative to the elements: 604 meV per atom
# ΔE to the lowest computed polymorph: 76.8 kJ/mol of formula units
# theoretical density: 12.9 g cm⁻³
# energy: -3.28 eV per atom
data_CuHg2Mo
_chemical_formula_sum 'Cu2 Hg4 Mo2'
_symmetry_space_group_name_H-M 'C 1 2/m 1'
_symmetry_Int_Tables_number 12
_cell_length_a 9.4464
_cell_length_b 2.9062
_cell_length_c 5.3852
_cell_angle_alpha 90.00
_cell_angle_beta 102.36
_cell_angle_gamma 90.00
loop_
_symmetry_equiv_pos_as_xyz
'x,y,z'
'-x,-y,-z'
'-x,y,-z'
'x,-y,z'
'x+1/2,y+1/2,z'
'-x+1/2,-y+1/2,-z'
'-x+1/2,y+1/2,-z'
'x+1/2,-y+1/2,z'
loop_
_atom_site_label
_atom_site_type_symbol
_atom_site_fract_x
_atom_site_fract_y
_atom_site_fract_z
_atom_site_occupancy
Cu1 Cu 0.0000 0.0000 0.0000 1
Hg1 Hg 0.2422 0.5000 0.2440 1
Mo1 Mo 0.0000 0.5000 0.5000 1


# 2
# TlBi2Ru PBE optimized geometry
# total magnetization: 0.00 μB/f.u.
# energy relative to the elements: 489 meV per atom
# ΔE to the lowest computed polymorph: 0.0 kJ/mol of formula units
# theoretical density: 8.2 g cm⁻³
# energy: -4.36 eV per atom
data_TlBi2Ru
_chemical_formula_sum 'Tl4 Bi8 Ru4'
_symmetry_space_group_name_H-M 'I -4 2 d'
_symmetry_Int_Tables_number 122
_symmetry_space_group_name_Hall 'I -4 2bw'
_cell_length_a 6.8565
_cell_length_b 6.8565
_cell_length_c 12.4199
_cell_angle_alpha 90.00
_cell_angle_beta 90.00
_cell_angle_gamma 90.00
loop_
_atom_site_label
_atom_site_type_symbol
_atom_site_fract_x
_atom_site_fract_y
_atom_site_fract_z
_atom_site_occupancy
Tl1 Tl 0.0000 0.0000 0.0000 1
Bi1 Bi 0.1745 0.2500 0.6250 1
Ru1 Ru 0.0000 0.0000 0.5000 1


# 3
# LuZrTc2 PBE optimized geometry
# total magnetization: 0.00 μB/f.u.
# energy relative to the elements: -132 meV per atom
# ΔE to the lowest computed polymorph: 6.1 kJ/mol of formula units
# theoretical density: 10.4 g cm⁻³
# energy: -8.58 eV per atom
data_LuZrTc2
_chemical_formula_sum 'Lu4 Zr4 Tc8'
_symmetry_space_group_name_H-M 'F m -3 m'
_symmetry_Int_Tables_number 225
_symmetry_space_group_name_Hall '-F 4 2 3'
_cell_length_a 6.6539
_cell_length_b 6.6539
_cell_length_c 6.6539
_cell_angle_alpha 90.00
_cell_angle_beta 90.00
_cell_angle_gamma 90.00
loop_
_atom_site_label
_atom_site_type_symbol
_atom_site_fract_x
_atom_site_fract_y
_atom_site_fract_z
_atom_site_occupancy
Lu1 Lu 0.0000 0.0000 0.0000 1
Zr1 Zr 0.0000 0.0000 0.5000 1
Tc1 Tc 0.2500 0.2500 0.2500 1


# 4
# PrErHgAu PBE optimized geometry
# total magnetization: 0.22 μB/f.u.
# energy relative to the elements: -644 meV per atom
# ΔE to the lowest computed polymorph: 0.0 kJ/mol of formula units
# theoretical density: 11.4 g cm⁻³
# energy: -3.87 eV per atom
data_PrErHgAu
_chemical_formula_sum 'Pr1 Er1 Hg1 Au1'
_symmetry_space_group_name_H-M 'P 4 m m'
_symmetry_Int_Tables_number 99
_cell_length_a 3.6837
_cell_length_b 3.6837
_cell_length_c 7.5622
_cell_angle_alpha 90.00
_cell_angle_beta 90.00
_cell_angle_gamma 90.00
loop_
_symmetry_equiv_pos_as_xyz
'x,y,z'
'-y,x,z'
'-x,-y,z'
'y,-x,z'
'-x,y,z'
'y,x,z'
'x,-y,z'
'-y,-x,z'
loop_
_atom_site_label
_atom_site_type_symbol
_atom_site_fract_x
_atom_site_fract_y
_atom_site_fract_z
_atom_site_occupancy
Pr1 Pr 0.0000 0.0000 0.0000 1
Er1 Er 0.0000 0.0000 0.4772 1
Hg1 Hg 0.5000 0.5000 0.7213 1
Au1 Au 0.5000 0.5000 0.2740 1


# 5
# Ta2SbTe PBE optimized geometry
# total magnetization: 0.00 μB/f.u.
# formation energy (no corrections): 0.07 eV per atom
# ΔE to the lowest computed polymorph: 48.8 kJ/mol of formula units
# theoretical density: 12.4 g cm⁻³
# energy: -7.67 eV per atom
data_Ta2SbTe
_chemical_formula_sum 'Ta4 Sb2 Te2'
_symmetry_space_group_name_H-M 'C 1 m 1'
_symmetry_Int_Tables_number 8
_cell_length_a 9.7908
_cell_length_b 3.4403
_cell_length_c 5.0758
_cell_angle_alpha 90.00
_cell_angle_beta 106.76
_cell_angle_gamma 90.00
loop_
_symmetry_equiv_pos_as_xyz
'x,y,z'
'x,-y,z'
'x+1/2,y+1/2,z'
'x+1/2,-y+1/2,z'
loop_
_atom_site_label
_atom_site_type_symbol
_atom_site_fract_x
_atom_site_fract_y
_atom_site_fract_z
_atom_site_occupancy
Ta1 Ta 0.0000 0.0000 0.0000 1
Ta2 Ta 0.2406 0.5000 0.3348 1
Sb1 Sb 0.4836 0.0000 0.4846 1
Te1 Te 0.2559 0.0000 0.8429 1


# 6
# Cs6TlI8 PBE optimized geometry
# total magnetization: 0.00 μB/f.u.
# formation energy (no corrections): -1.28 eV per atom
# theoretical density: 3.9 g cm⁻³
# energy: -2.60 eV per atom
data_Cs6TlI8
_chemical_formula_sum 'Cs6 Tl1 I8'
_symmetry_space_group_name_H-M 'P -3'
_symmetry_Int_Tables_number 147
_cell_length_a 11.2034
_cell_length_b 11.2034
_cell_length_c 7.9031
_cell_angle_alpha 90.00
_cell_angle_beta 90.00
_cell_angle_gamma 120.00
loop_
_symmetry_equiv_pos_as_xyz
'x,y,z'
'-x,-y,-z'
'-y,x-y,z'
'y,-x+y,-z'
'-x+y,-x,z'
'x-y,x,-z'
loop_
_atom_site_label
_atom_site_type_symbol
_atom_site_fract_x
_atom_site_fract_y
_atom_site_fract_z
_atom_site_occupancy
Cs1 Cs 0.0006 0.6224 0.2219 1
Tl1 Tl 0.0000 0.0000 0.5000 1
I1 I 0.0005 0.7386 0.7106 1
I2 I 0.3333 0.6667 0.9989 1


# 7
# Na3GeSb2 PBE optimized geometry
# total magnetization: 0.00 μB/f.u.
# formation energy (no corrections): -0.05 eV per atom
# theoretical density: 3.5 g cm⁻³
# energy: -2.86 eV per atom
data_Na3GeSb2
_chemical_formula_sum 'Na12 Ge4 Sb8'
_symmetry_space_group_name_H-M 'I b a m'
_symmetry_Int_Tables_number 72
_symmetry_space_group_name_Hall '-I 2 2c'
_cell_length_a 6.5274
_cell_length_b 11.8098
_cell_length_c 9.4958
_cell_angle_alpha 90.00
_cell_angle_beta 90.00
_cell_angle_gamma 90.00
loop_
_atom_site_label
_atom_site_type_symbol
_atom_site_fract_x
_atom_site_fract_y
_atom_site_fract_z
_atom_site_occupancy
Na1 Na 0.0000 0.0000 0.2500 1
Na2 Na 0.0000 0.3120 0.2500 1
Ge1 Ge 0.0000 0.5000 0.0000 1
Sb1 Sb 0.2042 0.1507 0.0000 1


# 8
# K2HgGeRh PBE optimized geometry
# total magnetization: 2.11 μB/f.u.
# energy relative to the elements: 676 meV per atom
# theoretical density: 4.1 g cm⁻³
# energy: -2.22 eV per atom
data_K2HgGeRh
_chemical_formula_sum 'K2 Hg1 Ge1 Rh1'
_symmetry_space_group_name_H-M 'P 4/m m m'
_symmetry_Int_Tables_number 123
_symmetry_space_group_name_Hall '-P 4 2'
_cell_length_a 5.8918
_cell_length_b 5.8918
_cell_length_c 5.2567
_cell_angle_alpha 90.00
_cell_angle_beta 90.00
_cell_angle_gamma 90.00
loop_
_atom_site_label
_atom_site_type_symbol
_atom_site_fract_x
_atom_site_fract_y
_atom_site_fract_z
_atom_site_occupancy
K1 K 0.0000 0.5000 0.0000 1
Hg1 Hg 0.0000 0.0000 0.5000 1
Ge1 Ge 0.5000 0.5000 0.5000 1
Rh1 Rh 0.0000 0.0000 0.0000 1